No. 1
The following is a GGA-PBE calculation of a relaxed structure of TaAl2Ir2, from Alexandria.

Cell: 7.3139 7.3139 2.8815 Å, 90.00 90.00 90.00°
Closest atoms and distances in Å follow each position.
Fractional positions:
1 Ta 0.0000 0.0000 0.0000  4 Ir 2.81, 2 Ta 2.88, 8 Al 3.12
2 Ta 0.5000 0.5000 0.0000  4 Ir 2.81, 2 Ta 2.88, 8 Al 3.12
3 Al 0.1542 0.3458 0.5000  6 Ir 2.55-2.61
4 Al 0.3458 0.8458 0.5000  6 Ir 2.55-2.61
5 Al 0.6542 0.1542 0.5000  6 Ir 2.55-2.61
6 Al 0.8458 0.6542 0.5000  6 Ir 2.55-2.61
7 Ir 0.1425 0.6425 0.0000  6 Al 2.55-2.61, 2 Ta 2.81
8 Ir 0.3575 0.1425 0.0000  6 Al 2.55-2.61, 2 Ta 2.81
9 Ir 0.6425 0.8575 0.0000  6 Al 2.55-2.61, 2 Ta 2.81
10 Ir 0.8575 0.3575 0.0000  6 Al 2.55-2.61, 2 Ta 2.81

Total energy in eV/cell: -79.488
DFT formation energy in eV per atom: -0.537
Volume in Å³ per cell: 154.1
Polymorph energy (0 for the lowest one) in eV/atom: 0.073

=====

No. 2
The following is a GGA-PBE calculation of a relaxed structure of Si2Ni2Ge, from Alexandria.

Cell: 7.2662 7.2662 2.4998 Å, 90.00 90.00 90.00°
Closest atoms and distances in Å follow each position.
Fractional positions:
1 Si 0.1294 0.3706 0.0000  6 Ni 2.47-2.48, 3 Si 2.50-2.66
2 Si 0.3706 0.8706 0.0000  6 Ni 2.47-2.48, 3 Si 2.50-2.66
3 Si 0.6294 0.1294 0.0000  6 Ni 2.47-2.48, 3 Si 2.50-2.66
4 Si 0.8706 0.6294 0.0000  6 Ni 2.47-2.48, 3 Si 2.50-2.66
5 Ni 0.1635 0.6635 0.5000  6 Si 2.47-2.48, 2 Ni 2.50
6 Ni 0.3365 0.1635 0.5000  6 Si 2.47-2.48, 2 Ni 2.50
7 Ni 0.6635 0.8365 0.5000  6 Si 2.47-2.48, 2 Ni 2.50
8 Ni 0.8365 0.3365 0.5000  6 Si 2.47-2.48, 2 Ni 2.50
9 Ge 0.0000 0.0000 0.0000  2 Ge 2.50
10 Ge 0.5000 0.5000 0.0000  2 Ge 2.50

Total energy in eV/cell: -54.995
Volume in Å³ per cell: 132.0
Polymorph energy (0 for the lowest one) in eV/atom: 0.043

=====

No. 3
The following is a GGA-PBE calculation of a relaxed structure of Ta2Co, from Alexandria.

Cell: 5.3235 5.3235 8.6045 Å, 90.00 90.00 120.00°
Closest atoms and distances in Å follow each position.
Fractional positions:
1 Ta 0.0000 0.0000 0.0000  6 Ta 2.66
2 Ta 0.0000 0.0000 0.5000  6 Ta 2.66
3 Ta 0.1701 0.3402 0.2500  6 Ta 2.61-2.72
4 Ta 0.1701 0.8299 0.2500  6 Ta 2.61-2.72
5 Ta 0.3402 0.1701 0.7500  6 Ta 2.61-2.72
6 Ta 0.6598 0.8299 0.2500  6 Ta 2.61-2.72
7 Ta 0.8299 0.1701 0.7500  6 Ta 2.61-2.72
8 Ta 0.8299 0.6598 0.7500  6 Ta 2.61-2.72
9 Co 0.3333 0.6667 0.5449  12 Ta 2.95-3.19, 3 Co 3.17
10 Co 0.3333 0.6667 0.9551  12 Ta 2.95-3.19, 3 Co 3.17
11 Co 0.6667 0.3333 0.0449  12 Ta 2.95-3.19, 3 Co 3.17
12 Co 0.6667 0.3333 0.4551  12 Ta 2.95-3.19, 3 Co 3.17

Total energy in eV/cell: -113.800
DFT formation energy in eV per atom: 0.787
Volume in Å³ per cell: 211.2